#P
Compound: BeSbMoI2
Source: Alexandria via LeMat-Bulk
Functional: GGA-PBE
Structure: relaxed

a b c (Å): 5.194 5.194 5.040
angles (deg): 90.00 90.00 90.00
Atoms (fractional coordinates):
Be (0.000, 0.000, 0.000)
Sb (0.000, 0.000, 0.500)
Mo (0.500, 0.500, 0.500)
I (0.000, 0.500, 0.000)
I (0.500, 0.000, 0.000)

Properties
As for the space group: P4/mmm. For the density of states at the Fermi level, the calculation gives 2.28 states/eV/cell. The value obtained for the density is 5.87 g/cm³.

***

#Q
Compound: BeSbMoI2
Source: Alexandria via LeMat-Bulk
Functional: GGA-PBE
Structure: relaxed

a b c (Å): 5.611 5.611 5.281
angles (deg): 90.00 90.00 90.00
Atoms (fractional coordinates):
Be (0.000, 0.000, 0.000)
Sb (0.500, 0.500, 0.000)
Mo (0.500, 0.500, 0.500)
I (0.000, 0.500, 0.500)
I (0.500, 0.000, 0.500)

Properties
As for the space group: P4/mmm. For the density of states at the Fermi level, the calculation gives 4.33 states/eV/cell. The value obtained for the density is 4.80 g/cm³.

***

Most stable to least stable: #Q, #P

***

#P
Compound: BeTeMoI2
Source: Alexandria via LeMat-Bulk
Functional: GGA-PBE
Structure: relaxed

a b c (Å): 5.135 5.135 5.274
angles (deg): 90.00 90.00 90.00
Atoms (fractional coordinates):
Be (0.000, 0.000, 0.000)
Te (0.000, 0.000, 0.500)
Mo (0.500, 0.500, 0.500)
I (0.000, 0.500, 0.000)
I (0.500, 0.000, 0.000)

Properties
As for the space group: P4/mmm. For the density of states at the Fermi level, the calculation gives 2.81 states/eV/cell. The value obtained for the density is 5.81 g/cm³.

***

#Q
Compound: BeTeMoI2
Source: Alexandria via LeMat-Bulk
Functional: GGA-PBE
Structure: relaxed

a b c (Å): 5.691 5.691 5.233
angles (deg): 90.00 90.00 90.00
Atoms (fractional coordinates):
Be (0.000, 0.000, 0.000)
Te (0.500, 0.500, 0.000)
Mo (0.500, 0.500, 0.500)
I (0.000, 0.500, 0.500)
I (0.500, 0.000, 0.500)

Properties
As for the space group: P4/mmm. For the density of states at the Fermi level, the calculation gives 1.73 states/eV/cell. The value obtained for the density is 4.77 g/cm³.

***

Most stable to least stable: #Q, #P

***

#P
Compound: Be3IN
Source: Alexandria via LeMat-Bulk
Functional: GGA-PBE
Structure: relaxed

a b c (Å): 3.879 3.879 3.879
angles (deg): 90.00 90.00 90.00
Atoms (fractional coordinates):
Be (0.000, 0.000, 0.500)
Be (0.000, 0.500, 0.000)
Be (0.500, 0.000, 0.000)
I (0.500, 0.500, 0.500)
N (0.000, 0.000, 0.000)

Properties
As for the space group: Pm-3m. For the density of states at the Fermi level, the calculation gives 1.96 states/eV/cell. The value obtained for the density is 4.78 g/cm³.

***

#Q
Compound: Be3IN
Source: Alexandria via LeMat-Bulk
Functional: GGA-PBE
Structure: relaxed

a b c (Å): 4.673 4.673 4.673
angles (deg): 90.00 90.00 90.00
Atoms (fractional coordinates):
Be (0.000, 0.000, 0.500)
Be (0.000, 0.500, 0.000)
Be (0.500, 0.000, 0.000)
I (0.000, 0.000, 0.000)
N (0.500, 0.500, 0.500)

Properties
As for the space group: Pm-3m. For the density of states at the Fermi level, the calculation gives 2.16 states/eV/cell. The value obtained for the density is 2.73 g/cm³.

***

Most stable to least stable: #P, #Q

***

#P
Compound: BeNbI2N
Source: Alexandria via LeMat-Bulk
Functional: GGA-PBE
Structure: relaxed

a b c (Å): 5.429 5.429 3.278
angles (deg): 90.00 90.00 90.00
Atoms (fractional coordinates):
Be (0.000, 0.000, 0.000)
Nb (0.500, 0.500, 0.500)
I (0.000, 0.500, 0.000)
I (0.500, 0.000, 0.000)
N (0.000, 0.000, 0.500)

Properties
As for the space group: P4/mmm. For the density of states at the Fermi level, the calculation gives 4.49 states/eV/cell. The value obtained for the density is 6.35 g/cm³.

***

#Q
Compound: BeNbI2N
Source: Alexandria via LeMat-Bulk
Functional: GGA-PBE
Structure: relaxed

a b c (Å): 5.702 5.702 3.922
angles (deg): 90.00 90.00 90.00
Atoms (fractional coordinates):
Be (0.000, 0.000, 0.000)
Nb (0.500, 0.500, 0.500)
I (0.000, 0.500, 0.500)
I (0.500, 0.000, 0.500)
N (0.500, 0.500, 0.000)

Properties
As for the space group: P4/mmm. For the density of states at the Fermi level, the calculation gives 2.52 states/eV/cell. The value obtained for the density is 4.82 g/cm³.

***

Most stable to least stable: #Q, #P